(1)
# Pr2PSe

A geometry-optimized Pr2PSe structure (PBE, OQMD).

Lattice parameters (Å, degrees): 4.2111 5.9734 8.5555 90.00 90.00 90.00
With the nearest neighbours (Å) after each atom.
Fractional positions:
Pr1 0.0000 0.0000 0.3879  4 P 2.93-2.99, 2 Se 3.10
Pr2 0.5000 0.5000 0.1447  2 P 2.88, 4 Se 2.99-3.10
Pr3 0.5000 0.5000 0.6121  4 P 2.93-2.99, 2 Se 3.10
Pr4 0.0000 0.0000 0.8553  2 P 2.88, 4 Se 2.99-3.10
P1 0.0000 0.5000 0.3748  6 Pr 2.88-2.99
P2 0.5000 0.0000 0.6252  6 Pr 2.88-2.99
Se1 0.0000 0.5000 0.8788  6 Pr 2.99-3.10
Se2 0.5000 0.0000 0.1212  6 Pr 2.99-3.10

Values from the calculation:
- distance to the lowest polymorph of the same formula (meV per atom) = 0
- SG = No. 59
- E_tot (eV/cell) = -51.00

---

(2)
# Pr2PSe

A geometry-optimized Pr2PSe structure (PBE, OQMD).

Lattice parameters (Å, degrees): 4.2322 4.2322 5.9745 90.00 90.00 90.00
With the nearest neighbours (Å) after each atom.
Fractional positions:
Pr1 0.0000 0.0000 0.0000  2 Se 2.99, 4 P 2.99
Pr2 0.5000 0.5000 0.5000  2 P 2.99, 4 Se 2.99
Se1 0.0000 0.0000 0.5000  6 Pr 2.99
P1 0.5000 0.5000 0.0000  6 Pr 2.99

Values from the calculation:
- distance to the lowest polymorph of the same formula (meV per atom) = 29
- SG = No. 123
- E_tot (eV/cell) = -25.38

---

(3)
# Pr4PSe3

A geometry-optimized Pr4PSe3 structure (PBE, OQMD).

Lattice parameters (Å, degrees): 7.3880 7.3880 4.2256 90.00 90.00 109.16
With the nearest neighbours (Å) after each atom.
Fractional positions:
Se1 0.5000 0.5000 0.5000  6 Pr 3.11-3.13
Se2 0.5000 0.0000 0.0000  6 Pr 3.01
Se3 0.0000 0.5000 0.0000  6 Pr 3.01
Pr1 0.2334 0.2334 0.0000  2 P 2.91, 4 Se 3.01-3.11
Pr2 0.2397 0.7603 0.5000  1 P 2.89, 5 Se 3.01-3.13
Pr3 0.7666 0.7666 0.0000  2 P 2.91, 4 Se 3.01-3.11
Pr4 0.7603 0.2397 0.5000  1 P 2.89, 5 Se 3.01-3.13
P1 0.0000 0.0000 0.5000  6 Pr 2.89-2.91

Values from the calculation:
- SG = No. 65
- E_tot (eV/cell) = -49.56

---

(4)
# Pr3P2Se

A geometry-optimized Pr3P2Se structure (PBE, OQMD).

Lattice parameters (Å, degrees): 7.3279 7.3279 7.3279 146.58 131.92 59.82
With the nearest neighbours (Å) after each atom.
Fractional positions:
P1 0.6650 0.6650 0.0000  6 Pr 2.92-2.99
P2 0.3350 0.3350 0.0000  6 Pr 2.92-2.99
Pr1 0.8243 0.3243 0.5000  4 P 2.92-2.99, 2 Se 3.07
Pr2 0.5000 0.0000 0.5000  4 P 2.97, 2 Se 2.98
Pr3 0.1757 0.6757 0.5000  4 P 2.92-2.99, 2 Se 3.07
Se1 0.0000 0.0000 0.0000  6 Pr 2.98-3.07

Values from the calculation:
- distance to the lowest polymorph of the same formula (meV per atom) = 4
- SG = No. 71
- E_tot (eV/cell) = -38.84

---

(5)
# Pr3PSe2

A geometry-optimized Pr3PSe2 structure (PBE, OQMD).

Lattice parameters (Å, degrees): 4.2347 4.2347 10.4733 90.00 90.00 120.00
With the nearest neighbours (Å) after each atom.
Fractional positions:
Se1 0.6667 0.3333 0.1681  6 Pr 3.01-3.08
Se2 0.3333 0.6667 0.8319  6 Pr 3.01-3.08
Pr1 0.6667 0.3333 0.6528  3 P 2.92, 3 Se 3.08
Pr2 0.3333 0.6667 0.3472  3 P 2.92, 3 Se 3.08
Pr3 0.0000 0.0000 0.0000  6 Se 3.01
P1 0.0000 0.0000 0.5000  6 Pr 2.92

Values from the calculation:
- SG = No. 164
- E_tot (eV/cell) = -37.46

---

(6)
# Pr3P2Se

A geometry-optimized Pr3P2Se structure (PBE, OQMD).

Lattice parameters (Å, degrees): 4.2152 4.2152 10.4277 90.00 90.00 120.00
With the nearest neighbours (Å) after each atom.
Fractional positions:
P1 0.6667 0.3333 0.1655  6 Pr 2.90-2.98
P2 0.3333 0.6667 0.8345  6 Pr 2.90-2.98
Pr1 0.3333 0.6667 0.3164  3 P 2.90, 3 Se 3.10
Pr2 0.0000 0.0000 0.0000  6 P 2.98
Pr3 0.6667 0.3333 0.6836  3 P 2.90, 3 Se 3.10
Se1 0.0000 0.0000 0.5000  6 Pr 3.10

Values from the calculation:
- distance to the lowest polymorph of the same formula (meV per atom) = 0
- SG = No. 164
- E_tot (eV/cell) = -38.87